(1)
A plane-wave DFT calculation with PBE-GGA was carried out for a relaxed Cu2SiAs crystal.

Lattice parameters (Å, degrees): 2.759 2.759 7.571 90.00 90.00 92.47
Fractional positions:
Cu 0.000 0.000 0.476
Cu 0.000 0.000 0.024
Si 0.500 0.500 0.250
As 0.500 0.500 0.750

Properties
The theoretical density comes out at 6.6 g/cm³. The total energy comes out at -4.35 eV/atom. As for the volume: 14.4 Å³ per atom. Its crystal system is orthorhombic. The density of states at the Fermi level comes out at 1.17 states/eV per cell. Its total magnetization is 0.00 μB/f.u.

***

(2)
A plane-wave DFT calculation with PBE-GGA was carried out for a relaxed LiY2HfO crystal.

Lattice parameters (Å, degrees): 4.969 4.244 4.969 90.00 90.00 90.00
Fractional positions:
Y 0.000 0.000 0.500
Y 0.500 0.000 0.000
O 0.000 0.000 0.000
Hf 0.000 0.500 0.000
Li 0.500 0.500 0.500

Properties
The theoretical density comes out at 6.0 g/cm³. The total energy comes out at -6.90 eV/atom. As for the volume: 21.0 Å³ per atom. Its crystal system is tetragonal. The density of states at the Fermi level comes out at 4.69 states/eV per cell. Its total magnetization is 0.00 μB/f.u.

***

(3)
A plane-wave DFT calculation with PBE-GGA was carried out for a relaxed TbPm2Al2 crystal.

Lattice parameters (Å, degrees): 3.677 6.250 12.744 83.50 90.00 90.00
Fractional positions:
Al 0.750 0.654 0.016
Al 0.250 0.346 0.984
Al 0.250 0.712 0.627
Al 0.750 0.288 0.373
Tb 0.250 0.537 0.210
Tb 0.750 0.463 0.790
Pm 0.250 0.224 0.572
Pm 0.750 0.776 0.428
Pm 0.750 0.070 0.142
Pm 0.250 0.930 0.858

Properties
The theoretical density comes out at 5.7 g/cm³. The total energy comes out at -4.47 eV/atom. As for the relative energy among the computed polymorphs: 0.167 eV per atom. As for the volume: 29.1 Å³ per atom. Its crystal system is monoclinic. The density of states at the Fermi level comes out at 10.56 states/eV per cell. Its total magnetization is 0.00 μB/f.u. Its formation energy is -14 kJ per mole of atoms.